{
  "formula": "DyYCo",
  "functional": "GGA-PBE",
  "state": "relaxed",
  "lattice_angstrom": [[3.3746, 0.0000, 0.0000], [0.0000, 3.3746, 0.0000], [-1.6873, -1.6873, 6.3253]],
  "species": ["Y", "Co", "Dy"],
  "frac_coords": [[0.2954, 0.2954, 0.5908], [0.6656, 0.6656, 0.3311], [0.0390, 0.0390, 0.0780]],
  "total_magnetization_mub_per_atom": 0.233,
  "volume_a3_per_atom": 24.011,
  "relative_energy_ev_per_fu": 0.06,
  "sg": "I4mm (107)",
  "dos_ef_per_ev_cell": 1.97,
  "delta_e_f_ev_per_atom": -0.11
}